[1]
A relaxed structure of PrSmTl, computed with PBE.

a = 5.3360 Å, b = 5.3360 Å, c = 5.3360 Å
α = 60.00°, β = 60.00°, γ = 60.00°
Closest atoms and distances in Å follow each position.
Fractional coordinates of all 3 atoms:
Tl 0.2500 0.2500 0.2500  4 Pr 3.27, 4 Sm 3.27
Sm 0.0000 0.0000 0.0000  4 Tl 3.27
Pr 0.5000 0.5000 0.5000  4 Tl 3.27

Results
Total energy in eV for the cell shown: -12.02
Space-group type: No. 216
Polymorph energy (0 for the lowest one) in eV per atom: 0.212
DOS(E_F) in states/eV per cell: 4.4
Formation energy in eV per atom: -0.053

***

[2]
A relaxed structure of PrSm2Tl4, computed with PBE.

a = 4.9216 Å, b = 4.9216 Å, c = 10.8981 Å
α = 76.95°, β = 76.95°, γ = 60.00°
Closest atoms and distances in Å follow each position.
Fractional coordinates of all 7 atoms:
Tl 0.6151 0.6151 0.1547  3 Tl 3.08, 3 Pr 3.27
Tl 0.3849 0.3849 0.8453  3 Tl 3.08, 3 Pr 3.27
Tl 0.2443 0.2443 0.2671  3 Tl 3.08, 3 Sm 3.11
Tl 0.7557 0.7557 0.7329  3 Tl 3.08, 3 Sm 3.11
Sm 0.1295 0.1295 0.6116  3 Tl 3.11
Sm 0.8705 0.8705 0.3884  3 Tl 3.11
Pr 0.0000 0.0000 0.0000  6 Tl 3.27

Results
Total energy in eV for the cell shown: -24.77
Space-group type: No. 166
Polymorph energy (0 for the lowest one) in eV per atom: 0.079
DOS(E_F) in states/eV per cell: 5.3
Formation energy in eV per atom: -0.155

***

[3]
A relaxed structure of Pr4SmTl2, computed with PBE.

a = 9.5212 Å, b = 6.6388 Å, c = 12.8467 Å
α = 134.17°, β = 154.09°, γ = 59.79°
Closest atoms and distances in Å follow each position.
Fractional coordinates of all 7 atoms:
Pr 0.0012 0.4994 0.0007  4 Tl 3.19-3.47, 2 Sm 3.32
Pr 0.5002 0.9999 0.9999  4 Tl 3.19-3.52, 2 Pr 3.26
Pr 0.9834 0.3745 0.6517  1 Pr 3.26, 1 Sm 3.29, 4 Tl 3.38-3.60
Pr 0.0158 0.6262 0.3478  1 Pr 3.26, 1 Sm 3.28, 4 Tl 3.38-3.61
Tl 0.6802 0.7856 0.4132  7 Pr 3.19-3.52, 1 Sm 3.40
Tl 0.3200 0.2146 0.5866  7 Pr 3.19-3.51, 1 Sm 3.40
Sm 0.9993 0.9998 0.0001  4 Pr 3.28-3.32, 2 Tl 3.40

Results
Total energy in eV for the cell shown: -29.20
Space-group type: No. 1
Polymorph energy (0 for the lowest one) in eV per atom: 0.000
DOS(E_F) in states/eV per cell: 10.0
Formation energy in eV per atom: -0.090

***

[4]
A relaxed structure of PrSm2Tl2, computed with PBE.

a = 5.2714 Å, b = 5.2714 Å, c = 13.0831 Å
α = 90.00°, β = 90.00°, γ = 120.00°
Closest atoms and distances in Å follow each position.
Fractional coordinates of all 10 atoms:
Sm 0.3333 0.6667 0.2500  3 Pr 3.04
Sm 0.0000 0.0000 0.5000  2 Pr 3.27, 6 Tl 3.47
Sm 0.6667 0.3333 0.7500  3 Pr 3.04
Sm 0.0000 0.0000 0.0000  2 Pr 3.27, 6 Tl 3.47
Tl 0.3333 0.6667 0.6267  1 Tl 3.23, 6 Sm 3.44-3.47, 3 Pr 3.44
Tl 0.6667 0.3333 0.1267  1 Tl 3.23, 6 Sm 3.44-3.47, 3 Pr 3.44
Tl 0.3333 0.6667 0.8733  1 Tl 3.23, 6 Sm 3.44-3.47, 3 Pr 3.44
Tl 0.6667 0.3333 0.3733  1 Tl 3.23, 6 Sm 3.44-3.47, 3 Pr 3.44
Pr 0.0000 0.0000 0.2500  5 Sm 3.04-3.27
Pr 0.0000 0.0000 0.7500  5 Sm 3.04-3.27

Results
Total energy in eV for the cell shown: -38.16
Space-group type: No. 194
Polymorph energy (0 for the lowest one) in eV per atom: 0.149
DOS(E_F) in states/eV per cell: 4.7
Formation energy in eV per atom: -0.026

***

[5]
A relaxed structure of Pr3Sm3Tl, computed with PBE.

a = 8.6363 Å, b = 8.6363 Å, c = 8.9363 Å
α = 61.10°, β = 61.10°, γ = 60.00°
Closest atoms and distances in Å follow each position.
Fractional coordinates of all 14 atoms:
Tl 0.6664 0.6664 0.0007  6 Pr 3.37-3.63, 3 Sm 3.47
Tl 0.3336 0.3336 0.9993  6 Pr 3.37-3.63, 3 Sm 3.47
Pr 0.7035 0.2102 0.1654  4 Sm 3.26-3.54, 2 Pr 3.29, 2 Tl 3.37-3.63
Pr 0.0790 0.2965 0.8346  4 Sm 3.26-3.54, 2 Pr 3.29, 2 Tl 3.37-3.63
Pr 0.7898 0.0790 0.8346  4 Sm 3.26-3.54, 2 Pr 3.29, 2 Tl 3.37-3.63
Pr 0.9210 0.7035 0.1654  4 Sm 3.26-3.54, 2 Pr 3.29, 2 Tl 3.37-3.63
Pr 0.2965 0.7898 0.8346  4 Sm 3.26-3.54, 2 Pr 3.29, 2 Tl 3.37-3.63
Pr 0.2102 0.9210 0.1654  4 Sm 3.26-3.54, 2 Pr 3.29, 2 Tl 3.37-3.63
Sm 0.4389 0.9342 0.3588  4 Pr 3.26-3.54, 1 Tl 3.47, 2 Sm 3.65
Sm 0.9342 0.2680 0.3588  4 Pr 3.26-3.54, 1 Tl 3.47, 2 Sm 3.65
Sm 0.7320 0.5611 0.6412  4 Pr 3.26-3.54, 1 Tl 3.47, 2 Sm 3.65
Sm 0.2680 0.4389 0.3588  4 Pr 3.26-3.54, 1 Tl 3.47, 2 Sm 3.65
Sm 0.5611 0.0658 0.6412  4 Pr 3.26-3.54, 1 Tl 3.47, 2 Sm 3.65
Sm 0.0658 0.7320 0.6412  4 Pr 3.26-3.54, 1 Tl 3.47, 2 Sm 3.65

Results
Total energy in eV for the cell shown: -60.31
Space-group type: No. 148
Polymorph energy (0 for the lowest one) in eV per atom: 0.171
DOS(E_F) in states/eV per cell: 14.1
Formation energy in eV per atom: 0.101

***

[6]
A relaxed structure of PrSm5Tl, computed with PBE.

a = 10.9245 Å, b = 6.6787 Å, c = 7.1613 Å
α = 117.79°, β = 139.71°, γ = 90.00°
Closest atoms and distances in Å follow each position.
Fractional coordinates of all 7 atoms:
Sm 0.3609 0.7731 0.0000  2 Sm 3.03-3.31
Sm 0.3146 0.2385 0.4770  4 Sm 3.06-3.42, 1 Tl 3.22
Sm 0.8377 0.7615 0.5230  4 Sm 3.06-3.42, 1 Tl 3.22
Sm 0.1081 0.5000 0.0000  1 Tl 3.07, 2 Sm 3.31
Sm 0.3609 0.2269 0.0000  2 Sm 3.03-3.31
Tl 0.8275 0.5000 0.0000  3 Sm 3.07-3.22
Pr 0.7209 0.0000 0.0000  2 Sm 3.44, 2 Tl 3.54

Results
Total energy in eV for the cell shown: -30.10
Space-group type: No. 44
DOS(E_F) in states/eV per cell: 9.2
Formation energy in eV per atom: 0.091

***

[7]
A relaxed structure of PrSmTl, computed with PBE.

a = 3.8190 Å, b = 5.3761 Å, c = 5.3761 Å
α = 120.00°, β = 90.00°, γ = 90.00°
Closest atoms and distances in Å follow each position.
Fractional coordinates of all 3 atoms:
Sm 0.0896 0.0000 0.0000  3 Tl 3.18, 3 Pr 3.55
Pr 0.6362 0.3333 0.6667  3 Tl 3.40, 6 Sm 3.55-3.74
Tl 0.2743 0.6667 0.3333  3 Sm 3.18, 3 Pr 3.40

Results
Total energy in eV for the cell shown: -12.37
Space-group type: No. 156
Polymorph energy (0 for the lowest one) in eV per atom: 0.097
DOS(E_F) in states/eV per cell: 1.8
Formation energy in eV per atom: -0.168

***

[8]
A relaxed structure of Pr9SmTl2, computed with PBE.

a = 5.0553 Å, b = 5.0553 Å, c = 15.5813 Å
α = 90.00°, β = 90.00°, γ = 90.00°
Closest atoms and distances in Å follow each position.
Fractional coordinates of all 12 atoms:
Pr 0.5000 0.5000 0.3382  8 Pr 3.57-3.60, 4 Tl 3.57
Pr 0.5000 0.0000 0.1737  8 Pr 3.57-3.70, 2 Tl 3.61, 2 Sm 3.70
Pr 0.0000 0.5000 0.1737  8 Pr 3.57-3.70, 2 Tl 3.61, 2 Sm 3.70
Pr 0.0000 0.5000 0.8263  8 Pr 3.57-3.70, 2 Tl 3.61, 2 Sm 3.70
Pr 0.5000 0.0000 0.8263  8 Pr 3.57-3.70, 2 Tl 3.61, 2 Sm 3.70
Pr 0.0000 0.5000 0.5000  4 Tl 3.56, 8 Pr 3.57
Pr 0.5000 0.5000 0.0000  4 Sm 3.57, 8 Pr 3.70
Pr 0.5000 0.5000 0.6618  8 Pr 3.57-3.60, 4 Tl 3.57
Pr 0.5000 0.0000 0.5000  4 Tl 3.56, 8 Pr 3.57
Tl 0.0000 0.0000 0.3390  12 Pr 3.56-3.61
Tl 0.0000 0.0000 0.6610  12 Pr 3.56-3.61
Sm 0.0000 0.0000 0.0000  12 Pr 3.57-3.70

Results
Total energy in eV for the cell shown: -54.00
Space-group type: No. 123
DOS(E_F) in states/eV per cell: 15.3
Formation energy in eV per atom: -0.128